Density functional theory data (PBE) for NaInPb after structural relaxation.

Results
DOS(E_F) (states/eV/atom): 0.40
Space group: No. 44
Calculated total energy (eV/atom): -2.616

abc: 9.134 9.134 9.134
angles: 148.51 58.56 131.99
Fractional positions:
Na (0.000, 0.000, 0.000)
Na (0.188, 0.522, 0.666)
Na (0.857, 0.522, 0.334)
In (0.332, 0.003, 0.329)
In (0.527, 0.527, 0.000)
In (0.675, 0.003, 0.671)
Pb (0.286, 0.786, 0.500)
Pb (0.582, 0.748, 0.833)
Pb (0.915, 0.748, 0.167)

=====

Density functional theory data (PBE) for NaIn4Pb4 after structural relaxation.

Results
DOS(E_F) (states/eV/atom): 0.49
Space group: No. 137
Energy above the most stable polymorph in this dataset (meV per atom): 54
Calculated total energy (eV/atom): -2.992

abc: 7.051 7.051 11.358
angles: 90.00 90.00 90.00
Fractional positions:
Na (0.250, 0.750, 0.250)
Na (0.750, 0.250, 0.750)
In (0.039, 0.250, 0.195)
In (0.250, 0.039, 0.695)
In (0.250, 0.461, 0.695)
In (0.461, 0.250, 0.195)
In (0.539, 0.750, 0.805)
In (0.750, 0.539, 0.305)
In (0.750, 0.961, 0.305)
In (0.961, 0.750, 0.805)
Pb (0.009, 0.750, 0.522)
Pb (0.250, 0.509, 0.978)
Pb (0.250, 0.991, 0.978)
Pb (0.491, 0.750, 0.522)
Pb (0.509, 0.250, 0.478)
Pb (0.750, 0.009, 0.022)
Pb (0.750, 0.491, 0.022)
Pb (0.991, 0.250, 0.478)

=====

Question: Which value of calculated total energy does entry 1 give?
Answer: -2.616 eV/atom